Entry 1:
The following is a DFT calculation (meta-GGA SCAN) of a crystal of Mg54Ag17 relaxed with PBEsol.

```
data_Mg54Ag17
_chemical_formula_sum 'Mg108 Ag34'
_cell_length_a 13.999
_cell_length_b 14.050
_cell_length_c 14.539
_cell_angle_alpha 90.00
_cell_angle_beta 90.00
_cell_angle_gamma 90.00
_space_group_name_H-M_alt 'I m m m'
_space_group_IT_number 71
_space_group_name_Hall '-I 2 2'
loop_
_atom_site_label
_atom_site_type_symbol
_atom_site_fract_x
_atom_site_fract_y
_atom_site_fract_z
Mg1 Mg 0.000 0.000 0.146
Mg2 Mg 0.000 0.180 0.396
Mg3 Mg 0.000 0.317 0.098
Mg4 Mg 0.000 0.385 0.500
Mg5 Mg 0.102 0.500 0.336
Mg6 Mg 0.111 0.000 0.331
Mg7 Mg 0.113 0.500 0.000
Mg8 Mg 0.118 0.181 0.213
Mg9 Mg 0.127 0.106 0.000
Mg10 Mg 0.175 0.108 0.500
Mg11 Mg 0.189 0.310 0.392
Mg12 Mg 0.192 0.386 0.179
Ag1 Ag 0.000 0.000 0.500
Ag2 Ag 0.000 0.333 0.289
Ag3 Ag 0.000 0.500 0.170
Ag4 Ag 0.168 0.293 0.000
Ag5 Ag 0.190 0.500 0.500
Ag6 Ag 0.201 0.000 0.166
```

## Properties
Calculated total energy   -0.8442 Ry per atom
Density   3654 kg/m3
DOS(E_F)   43.77 states/eV/cell

---

Entry 2:
The following is a DFT calculation (meta-GGA SCAN) of a crystal of Mg3Ag relaxed with PBEsol.

```
data_Mg3Ag
_chemical_formula_sum 'Mg6 Ag2'
_cell_length_a 5.419
_cell_length_b 5.419
_cell_length_c 5.419
_cell_angle_alpha 90.00
_cell_angle_beta 90.00
_cell_angle_gamma 90.00
_space_group_name_H-M_alt 'P m -3 n'
_space_group_IT_number 223
_space_group_name_Hall '-P 4n 2 3'
loop_
_atom_site_label
_atom_site_type_symbol
_atom_site_fract_x
_atom_site_fract_y
_atom_site_fract_z
Mg1 Mg 0.000 0.250 0.500
Ag1 Ag 0.000 0.000 0.000
```

## Properties
Calculated total energy   -0.8578 Ry per atom
Density   3773 kg/m3
DOS(E_F)   3.42 states/eV/cell

---

Q: What is the density in the first record?
A: 3654 kg/m3